[1]
Material: GaS8Cl2
Method: DFT, PBE-GGA
State: optimized geometry

a = 7.831 Å, b = 7.831 Å, c = 8.877 Å
α = 120.10°, β = 120.10°, γ = 45.89°
Sites, in units of the cell vectors:
Ga 0.000 0.000 0.000
S 0.162 0.640 0.734
S 0.331 0.331 0.823
S 0.360 0.838 0.266
S 0.484 0.484 0.669
S 0.516 0.516 0.331
S 0.640 0.162 0.734
S 0.669 0.669 0.177
S 0.838 0.360 0.266
Cl 0.183 0.183 0.072
Cl 0.817 0.817 0.928

formation energy from raw total energies: 108 meV/atom
total magnetic moment: 0.00 μB per atom
symmetry: C2/m

***

[2]
Material: GaSbS2Cl
Method: DFT, PBE-GGA
State: optimized geometry

a = 4.823 Å, b = 4.823 Å, c = 4.630 Å
α = 90.00°, β = 90.00°, γ = 90.00°
Sites, in units of the cell vectors:
Ga 0.000 0.000 0.000
Sb 0.500 0.500 0.500
S 0.000 0.500 0.000
S 0.500 0.000 0.000
Cl 0.000 0.000 0.500

formation energy from raw total energies: -14 meV/atom
total magnetic moment: 0.00 μB per atom
ΔE to the lowest computed polymorph: 50 meV per atom
symmetry: P4/mmm

***

[3]
Material: GaSbS2Cl
Method: DFT, PBE-GGA
State: optimized geometry

a = 5.082 Å, b = 5.082 Å, c = 5.363 Å
α = 90.00°, β = 90.00°, γ = 90.00°
Sites, in units of the cell vectors:
Ga 0.000 0.000 0.000
Sb 0.500 0.500 0.500
S 0.000 0.500 0.500
S 0.500 0.000 0.500
Cl 0.500 0.500 0.000

formation energy from raw total energies: -64 meV/atom
total magnetic moment: 0.00 μB per atom
ΔE to the lowest computed polymorph: 0 meV per atom
symmetry: P4/mmm

***

[4]
Material: GaSbSCl2
Method: DFT, PBE-GGA
State: optimized geometry

a = 5.371 Å, b = 5.371 Å, c = 5.163 Å
α = 90.00°, β = 90.00°, γ = 90.00°
Sites, in units of the cell vectors:
Ga 0.000 0.000 0.000
Sb 0.500 0.500 0.500
S 0.500 0.500 0.000
Cl 0.000 0.500 0.500
Cl 0.500 0.000 0.500

formation energy from raw total energies: -348 meV/atom
total magnetic moment: 0.00 μB per atom
ΔE to the lowest computed polymorph: 0 meV per atom
symmetry: P4/mmm

***

[5]
Material: GaSe2SCl
Method: DFT, PBE-GGA
State: optimized geometry

a = 5.061 Å, b = 5.061 Å, c = 4.628 Å
α = 90.00°, β = 90.00°, γ = 90.00°
Sites, in units of the cell vectors:
Ga 0.000 0.000 0.000
Se 0.000 0.500 0.000
Se 0.500 0.000 0.000
S 0.000 0.000 0.500
Cl 0.500 0.500 0.500

formation energy from raw total energies: 476 meV/atom
total magnetic moment: 0.00 μB per atom
symmetry: P4/mmm

***

[6]
Material: GaSiS2Cl
Method: DFT, PBE-GGA
State: optimized geometry

a = 4.543 Å, b = 4.543 Å, c = 5.050 Å
α = 90.00°, β = 90.00°, γ = 90.00°
Sites, in units of the cell vectors:
Ga 0.000 0.000 0.000
Si 0.500 0.500 0.500
S 0.000 0.500 0.500
S 0.500 0.000 0.500
Cl 0.500 0.500 0.000

formation energy from raw total energies: -151 meV/atom
total magnetic moment: 0.00 μB per atom
ΔE to the lowest computed polymorph: 0 meV per atom
symmetry: P4/mmm

***

[7]
Material: GaSiSCl2
Method: DFT, PBE-GGA
State: optimized geometry

a = 4.983 Å, b = 4.983 Å, c = 4.544 Å
α = 90.00°, β = 90.00°, γ = 90.00°
Sites, in units of the cell vectors:
Ga 0.000 0.000 0.000
Si 0.500 0.500 0.500
S 0.500 0.500 0.000
Cl 0.000 0.500 0.500
Cl 0.500 0.000 0.500

formation energy from raw total energies: -341 meV/atom
total magnetic moment: 0.00 μB per atom
ΔE to the lowest computed polymorph: 0 meV per atom
symmetry: P4/mmm

***

[8]
Material: Sm3GaSCl
Method: DFT, PBE-GGA
State: optimized geometry

a = 7.694 Å, b = 3.936 Å, c = 10.894 Å
α = 90.00°, β = 107.72°, γ = 90.00°
Sites, in units of the cell vectors:
Sm 0.173 0.250 0.145
Sm 0.209 0.250 0.492
Sm 0.319 0.750 0.839
Sm 0.681 0.250 0.161
Sm 0.791 0.750 0.508
Sm 0.827 0.750 0.855
Ga 0.014 0.250 0.706
Ga 0.986 0.750 0.294
S 0.404 0.750 0.106
S 0.596 0.250 0.894
Cl 0.477 0.750 0.624
Cl 0.523 0.250 0.376

formation energy from raw total energies: -1310 meV/atom
total magnetic moment: 0.00 μB per atom
symmetry: P2_1/m

***

[9]
Material: GaSnSCl2
Method: DFT, PBE-GGA
State: optimized geometry

a = 5.386 Å, b = 5.386 Å, c = 5.021 Å
α = 90.00°, β = 90.00°, γ = 90.00°
Sites, in units of the cell vectors:
Ga 0.000 0.000 0.000
Sn 0.500 0.500 0.500
S 0.500 0.500 0.000
Cl 0.000 0.500 0.500
Cl 0.500 0.000 0.500

formation energy from raw total energies: -455 meV/atom
total magnetic moment: 0.00 μB per atom
ΔE to the lowest computed polymorph: 0 meV per atom
symmetry: P4/mmm

***

[10]
Material: GaSnSCl2
Method: DFT, PBE-GGA
State: optimized geometry

a = 4.929 Å, b = 4.929 Å, c = 4.856 Å
α = 90.00°, β = 90.00°, γ = 90.00°
Sites, in units of the cell vectors:
Ga 0.000 0.000 0.000
Sn 0.500 0.500 0.500
S 0.000 0.000 0.500
Cl 0.000 0.500 0.000
Cl 0.500 0.000 0.000

formation energy from raw total energies: -418 meV/atom
total magnetic moment: 0.00 μB per atom
ΔE to the lowest computed polymorph: 37 meV per atom
symmetry: P4/mmm

***

[11]
Material: TaGaSCl2
Method: DFT, PBE-GGA
State: optimized geometry

a = 4.716 Å, b = 4.716 Å, c = 4.885 Å
α = 90.00°, β = 90.00°, γ = 90.00°
Sites, in units of the cell vectors:
Ta 0.000 0.000 0.000
Ga 0.500 0.500 0.500
S 0.500 0.500 0.000
Cl 0.000 0.500 0.500
Cl 0.500 0.000 0.500

formation energy from raw total energies: 555 meV/atom
total magnetic moment: 0.65 μB per atom
ΔE to the lowest computed polymorph: 1057 meV per atom
symmetry: P4/mmm

***

[12]
Material: TaGaS2Cl
Method: DFT, PBE-GGA
State: optimized geometry

a = 4.700 Å, b = 4.700 Å, c = 4.550 Å
α = 90.00°, β = 90.00°, γ = 90.00°
Sites, in units of the cell vectors:
Ta 0.000 0.000 0.000
Ga 0.500 0.500 0.500
S 0.000 0.500 0.500
S 0.500 0.000 0.500
Cl 0.500 0.500 0.000

formation energy from raw total energies: 553 meV/atom
total magnetic moment: 0.52 μB per atom
ΔE to the lowest computed polymorph: 1108 meV per atom
symmetry: P4/mmm

***

[13]
Material: TaGaSCl2
Method: DFT, PBE-GGA
State: optimized geometry

a = 4.919 Å, b = 4.919 Å, c = 4.819 Å
α = 90.00°, β = 90.00°, γ = 90.00°
Sites, in units of the cell vectors:
Ta 0.000 0.000 0.000
Ga 0.500 0.500 0.500
S 0.000 0.000 0.500
Cl 0.000 0.500 0.000
Cl 0.500 0.000 0.000

formation energy from raw total energies: -502 meV/atom
total magnetic moment: 0.08 μB per atom
ΔE to the lowest computed polymorph: 0 meV per atom
symmetry: P4/mmm

***

[14]
Material: TaGaS2Cl
Method: DFT, PBE-GGA
State: optimized geometry

a = 4.830 Å, b = 4.830 Å, c = 4.891 Å
α = 90.00°, β = 90.00°, γ = 90.00°
Sites, in units of the cell vectors:
Ta 0.000 0.000 0.000
Ga 0.500 0.500 0.500
S 0.000 0.500 0.000
S 0.500 0.000 0.000
Cl 0.000 0.000 0.500

formation energy from raw total energies: -555 meV/atom
total magnetic moment: 0.00 μB per atom
ΔE to the lowest computed polymorph: 0 meV per atom
symmetry: P4/mmm

***

[15]
Material: Tb3GaSCl
Method: DFT, PBE-GGA
State: optimized geometry

a = 8.483 Å, b = 3.836 Å, c = 9.716 Å
α = 90.00°, β = 106.88°, γ = 90.00°
Sites, in units of the cell vectors:
Tb 0.157 0.250 0.163
Tb 0.327 0.750 0.901
Tb 0.341 0.750 0.516
Tb 0.659 0.250 0.484
Tb 0.673 0.250 0.099
Tb 0.843 0.750 0.837
Ga 0.455 0.750 0.240
Ga 0.545 0.250 0.760
S 0.089 0.250 0.869
S 0.911 0.750 0.131
Cl 0.108 0.250 0.431
Cl 0.892 0.750 0.569

formation energy from raw total energies: -1304 meV/atom
total magnetic moment: 0.00 μB per atom
symmetry: P2_1/m

***

[16]
Material: GaTcSCl2
Method: DFT, PBE-GGA
State: optimized geometry

a = 4.832 Å, b = 4.832 Å, c = 4.833 Å
α = 90.00°, β = 90.00°, γ = 90.00°
Sites, in units of the cell vectors:
Ga 0.000 0.000 0.000
Tc 0.500 0.500 0.500
S 0.000 0.000 0.500
Cl 0.000 0.500 0.000
Cl 0.500 0.000 0.000

formation energy from raw total energies: 376 meV/atom
total magnetic moment: 0.96 μB per atom
ΔE to the lowest computed polymorph: 594 meV per atom
symmetry: P4/mmm

***

[17]
Material: GaTcSCl2
Method: DFT, PBE-GGA
State: optimized geometry

a = 5.040 Å, b = 5.040 Å, c = 4.475 Å
α = 90.00°, β = 90.00°, γ = 90.00°
Sites, in units of the cell vectors:
Ga 0.000 0.000 0.000
Tc 0.500 0.500 0.500
S 0.500 0.500 0.000
Cl 0.000 0.500 0.500
Cl 0.500 0.000 0.500

formation energy from raw total energies: -218 meV/atom
total magnetic moment: 0.13 μB per atom
ΔE to the lowest computed polymorph: 0 meV per atom
symmetry: P4/mmm

***

[18]
Material: GaTeSCl2
Method: DFT, PBE-GGA
State: optimized geometry

a = 4.712 Å, b = 4.712 Å, c = 5.234 Å
α = 90.00°, β = 90.00°, γ = 90.00°
Sites, in units of the cell vectors:
Ga 0.000 0.000 0.000
Te 0.500 0.500 0.500
S 0.000 0.000 0.500
Cl 0.000 0.500 0.000
Cl 0.500 0.000 0.000

formation energy from raw total energies: -71 meV/atom
total magnetic moment: 0.21 μB per atom
ΔE to the lowest computed polymorph: 57 meV per atom
symmetry: P4/mmm

***

[19]
Material: GaTeS2Cl
Method: DFT, PBE-GGA
State: optimized geometry

a = 4.834 Å, b = 4.834 Å, c = 4.626 Å
α = 90.00°, β = 90.00°, γ = 90.00°
Sites, in units of the cell vectors:
Ga 0.000 0.000 0.000
Te 0.500 0.500 0.500
S 0.000 0.500 0.000
S 0.500 0.000 0.000
Cl 0.000 0.000 0.500

formation energy from raw total energies: 104 meV/atom
total magnetic moment: 0.00 μB per atom
ΔE to the lowest computed polymorph: 18 meV per atom
symmetry: P4/mmm

***

[20]
Material: GaTeSCl2
Method: DFT, PBE-GGA
State: optimized geometry

a = 5.360 Å, b = 5.360 Å, c = 5.233 Å
α = 90.00°, β = 90.00°, γ = 90.00°
Sites, in units of the cell vectors:
Ga 0.000 0.000 0.000
Te 0.500 0.500 0.500
S 0.500 0.500 0.000
Cl 0.000 0.500 0.500
Cl 0.500 0.000 0.500

formation energy from raw total energies: -128 meV/atom
total magnetic moment: 0.00 μB per atom
ΔE to the lowest computed polymorph: 0 meV per atom
symmetry: P4/mmm

***

[21]
Material: GaTeS2Cl
Method: DFT, PBE-GGA
State: optimized geometry

a = 5.120 Å, b = 5.120 Å, c = 5.333 Å
α = 90.00°, β = 90.00°, γ = 90.00°
Sites, in units of the cell vectors:
Ga 0.000 0.000 0.000
Te 0.500 0.500 0.500
S 0.000 0.500 0.500
S 0.500 0.000 0.500
Cl 0.500 0.500 0.000

formation energy from raw total energies: 86 meV/atom
total magnetic moment: 0.00 μB per atom
ΔE to the lowest computed polymorph: 0 meV per atom
symmetry: P4/mmm

***

[22]
Material: TiGaSCl2
Method: DFT, PBE-GGA
State: optimized geometry

a = 4.933 Å, b = 4.933 Å, c = 4.757 Å
α = 90.00°, β = 90.00°, γ = 90.00°
Sites, in units of the cell vectors:
Ti 0.000 0.000 0.000
Ga 0.500 0.500 0.500
S 0.000 0.000 0.500
Cl 0.000 0.500 0.000
Cl 0.500 0.000 0.000

formation energy from raw total energies: -944 meV/atom
total magnetic moment: 0.19 μB per atom
ΔE to the lowest computed polymorph: 0 meV per atom
symmetry: P4/mmm

***

[23]
Material: TiGaS2Cl
Method: DFT, PBE-GGA
State: optimized geometry

a = 4.780 Å, b = 4.780 Å, c = 4.599 Å
α = 90.00°, β = 90.00°, γ = 90.00°
Sites, in units of the cell vectors:
Ti 0.000 0.000 0.000
Ga 0.500 0.500 0.500
S 0.000 0.500 0.500
S 0.500 0.000 0.500
Cl 0.500 0.500 0.000

formation energy from raw total energies: -55 meV/atom
total magnetic moment: 0.35 μB per atom
ΔE to the lowest computed polymorph: 738 meV per atom
symmetry: P4/mmm

***

[24]
Material: TiGaS2Cl
Method: DFT, PBE-GGA
State: optimized geometry

a = 4.732 Å, b = 4.732 Å, c = 4.931 Å
α = 90.00°, β = 90.00°, γ = 90.00°
Sites, in units of the cell vectors:
Ti 0.000 0.000 0.000
Ga 0.500 0.500 0.500
S 0.000 0.500 0.000
S 0.500 0.000 0.000
Cl 0.000 0.000 0.500

formation energy from raw total energies: -794 meV/atom
total magnetic moment: 0.00 μB per atom
ΔE to the lowest computed polymorph: 0 meV per atom
symmetry: P4/mmm

***

[25]
Material: TiGaSCl2
Method: DFT, PBE-GGA
State: optimized geometry

a = 4.803 Å, b = 4.803 Å, c = 4.889 Å
α = 90.00°, β = 90.00°, γ = 90.00°
Sites, in units of the cell vectors:
Ti 0.000 0.000 0.000
Ga 0.500 0.500 0.500
S 0.500 0.500 0.000
Cl 0.000 0.500 0.500
Cl 0.500 0.000 0.500

formation energy from raw total energies: -146 meV/atom
total magnetic moment: 0.48 μB per atom
ΔE to the lowest computed polymorph: 798 meV per atom
symmetry: P4/mmm

***

[26]
Material: TlGaSCl2
Method: DFT, PBE-GGA
State: optimized geometry

a = 5.072 Å, b = 5.072 Å, c = 4.694 Å
α = 90.00°, β = 90.00°, γ = 90.00°
Sites, in units of the cell vectors:
Tl 0.000 0.000 0.000
Ga 0.500 0.500 0.500
S 0.500 0.500 0.000
Cl 0.000 0.500 0.500
Cl 0.500 0.000 0.500

formation energy from raw total energies: -646 meV/atom
total magnetic moment: 0.00 μB per atom
ΔE to the lowest computed polymorph: 0 meV per atom
symmetry: P4/mmm

***

[27]
Material: TlGaSCl2
Method: DFT, PBE-GGA
State: optimized geometry

a = 5.422 Å, b = 5.422 Å, c = 5.084 Å
α = 90.00°, β = 90.00°, γ = 90.00°
Sites, in units of the cell vectors:
Tl 0.000 0.000 0.000
Ga 0.500 0.500 0.500
S 0.000 0.000 0.500
Cl 0.000 0.500 0.000
Cl 0.500 0.000 0.000

formation energy from raw total energies: -229 meV/atom
total magnetic moment: 0.00 μB per atom
ΔE to the lowest computed polymorph: 418 meV per atom
symmetry: P4/mmm

***

[28]
Material: VGaSCl2
Method: DFT, PBE-GGA
State: optimized geometry

a = 4.800 Å, b = 4.800 Å, c = 4.868 Å
α = 90.00°, β = 90.00°, γ = 90.00°
Sites, in units of the cell vectors:
V 0.000 0.000 0.000
Ga 0.500 0.500 0.500
S 0.500 0.500 0.000
Cl 0.000 0.500 0.500
Cl 0.500 0.000 0.500

formation energy from raw total energies: 6 meV/atom
total magnetic moment: 0.69 μB per atom
ΔE to the lowest computed polymorph: 686 meV per atom
symmetry: P4/mmm